[1]
A plane-wave DFT calculation with PBE was carried out for a geometry-optimized LiCoNi2 structure.

POSCAR file:
```
LiCoNi2
1.0
-1.2759 2.0679 4.2558
1.2759 -2.0679 4.2558
1.2759 2.0679 -4.2558
Li Co Ni
1 1 2
Direct
0.0000 0.0000 0.0000 Li
0.7347 0.2347 0.5000 Co
0.2594 0.7594 0.5000 Ni
0.5007 0.5007 0.0000 Ni
```

Calculated values
- Theoretical density: 6.78 Mg/m³
- N(E_F): 1.059 states/eV per atom
- Energy of formation: 0.0803 eV per atom
- Volume: 11.2 Å³ per atom

***

[2]
A plane-wave DFT calculation with PBE was carried out for a geometry-optimized LiCoNi2 structure.

POSCAR file:
```
LiCoNi2
1.0
2.4384 0.0000 0.0000
0.0000 3.7058 0.0000
0.0000 0.0000 4.8993
Li Co Ni
1 1 2
Direct
0.0000 0.0000 0.0000 Li
0.5000 0.5000 0.7279 Co
0.0000 0.0000 0.5010 Ni
0.5000 0.5000 0.2374 Ni
```

Calculated values
- Theoretical density: 6.87 Mg/m³
- N(E_F): 1.166 states/eV per atom
- Energy of formation: 0.0794 eV per atom
- Volume: 11.1 Å³ per atom